Record 1
Sc4CuRh (PBE, optimized geometry); E = -75.38 eV for the cell shown; M_tot = 0.0 μB/f.u.; E above lowest polymorph = 303 meV/atom; energy relative to the elements = -0.91 eV/f.u.
1.0
-4.406 4.406 3.709
4.406 -4.406 3.709
4.406 4.406 -3.709
Sc Cu Rh
8 2 2
direct
0.201 0.496 0.705 Sc
0.246 0.041 0.795 Sc
0.246 0.451 0.205 Sc
0.292 0.000 0.292 Sc
0.708 0.000 0.708 Sc
0.750 0.542 0.792 Sc
0.750 0.958 0.208 Sc
0.791 0.496 0.295 Sc
0.249 0.749 0.500 Cu
0.499 0.499 0.000 Cu
0.747 0.247 0.500 Rh
0.997 0.997 0.000 Rh


Record 2
AcNiH6 (PBE, optimized geometry); E = -31.93 eV for the cell shown; M_tot = 0.0 μB/f.u.; E above lowest polymorph = 95 meV/atom
1.0
3.062 -3.123 0.000
3.062 3.123 0.000
-1.189 0.000 4.079
Ac Ni H
1 1 6
direct
0.000 0.000 0.000 Ac
0.500 0.500 0.500 Ni
0.211 0.556 0.245 H
0.272 0.272 0.604 H
0.444 0.789 0.755 H
0.556 0.211 0.245 H
0.728 0.728 0.396 H
0.789 0.444 0.755 H


Record 3
Sb2Rh (PBE, optimized geometry); E = -68.02 eV for the cell shown; uncorrected formation energy = -0.470 eV/atom; M_tot = 0.0 μB/f.u.
1.0
6.706 0.000 0.000
0.000 6.646 0.000
-3.023 0.000 6.072
Sb Rh
8 4
direct
0.150 0.137 0.373 Sb
0.150 0.363 0.873 Sb
0.345 0.638 0.676 Sb
0.345 0.862 0.176 Sb
0.655 0.138 0.824 Sb
0.655 0.362 0.324 Sb
0.850 0.637 0.127 Sb
0.850 0.863 0.627 Sb
0.272 0.000 0.788 Rh
0.272 0.500 0.288 Rh
0.728 0.000 0.212 Rh
0.728 0.500 0.712 Rh


Record 4
Ca2InHg2 (PBE, optimized geometry); E = -8.78 eV for the cell shown; M_tot = 0.0 μB/f.u.; E above lowest polymorph = 176 meV/atom; energy relative to the elements = -1.43 eV/f.u.
1.0
-2.104 2.104 8.631
2.104 -2.104 8.631
2.104 2.104 -8.631
Ca In Hg
2 1 2
direct
0.104 0.104 0.000 Ca
0.896 0.896 0.000 Ca
0.500 0.500 0.000 In
0.250 0.750 0.500 Hg
0.750 0.250 0.500 Hg